# CsPmPbSe3 PBE relaxed
data_CsPmPbSe3
_cell_length_a 9.291
_cell_length_b 4.338
_cell_length_c 12.147
_cell_angle_alpha 90.00
_cell_angle_beta 108.37
_cell_angle_gamma 90.00
_space_group_name_H-M_alt 'P 1 21/m 1'
_space_group_IT_number 11
loop_
_space_group_symop_operation_xyz
'x,y,z'
'-x,-y,-z'
'-x,y+1/2,-z'
'x,-y+1/2,z'
loop_
_atom_site_label
_atom_site_type_symbol
_atom_site_fract_x
_atom_site_fract_y
_atom_site_fract_z
Cs1 Cs 0.220 0.250 0.251
Pm1 Pm 0.362 0.750 0.856
Pb1 Pb 0.153 0.250 0.575
Se1 Se 0.125 0.250 0.797
Se2 Se 0.359 0.750 0.606
Se3 Se 0.413 0.750 0.104
# Raw formation energy = -1.2967 eV/atom
# Density = 5.2 g cm⁻³
# Uncorrected energy = -4.59 eV/atom

=====

# CsPmTe3Pb PBE relaxed
data_CsPmTe3Pb
_cell_length_a 10.547
_cell_length_b 4.580
_cell_length_c 11.283
_cell_angle_alpha 90.00
_cell_angle_beta 105.45
_cell_angle_gamma 90.00
_space_group_name_H-M_alt 'P 1 21/m 1'
_space_group_IT_number 11
loop_
_space_group_symop_operation_xyz
'x,y,z'
'-x,-y,-z'
'-x,y+1/2,-z'
'x,-y+1/2,z'
loop_
_atom_site_label
_atom_site_type_symbol
_atom_site_fract_x
_atom_site_fract_y
_atom_site_fract_z
Cs1 Cs 0.191 0.250 0.224
Pm1 Pm 0.358 0.750 0.852
Te1 Te 0.138 0.250 0.836
Te2 Te 0.317 0.750 0.559
Te3 Te 0.436 0.750 0.139
Pb1 Pb 0.127 0.250 0.568
# Raw formation energy = -1.0286 eV/atom
# Density = 5.5 g cm⁻³
# Uncorrected energy = -4.15 eV/atom

=====

# CsPrPb2 PBE relaxed
data_CsPrPb2
_cell_length_a 4.327
_cell_length_b 4.327
_cell_length_c 8.570
_cell_angle_alpha 90.00
_cell_angle_beta 90.00
_cell_angle_gamma 90.00
_space_group_name_H-M_alt 'P 4/m m m'
_space_group_IT_number 123
_space_group_name_Hall '-P 4 2'
loop_
_atom_site_label
_atom_site_type_symbol
_atom_site_fract_x
_atom_site_fract_y
_atom_site_fract_z
Cs1 Cs 0.000 0.000 0.000
Pr1 Pr 0.000 0.000 0.500
Pb1 Pb 0.500 0.500 0.320
# D(E_F) = 2.59 states/eV/cell
# ΔE_f = -338 meV/atom
# Density = 7.1 g cm⁻³
# Uncorrected energy = -3.60 eV/atom

=====

> Which value of density does entry 3 give?

7.1 g cm⁻³

=====

> density of number 2 (CsPmTe3Pb)?

5.5 g cm⁻³

=====

> Look up the density of the third one.

7.1 g cm⁻³

=====

> The lowest density belongs to which entry?

CsPmPbSe3